Record 1
This record from Alexandria describes a geometry-optimized TmMg6Sc5 structure. The functional is PBE.

Lattice parameters (Å, degrees): 8.8650 15.3626 5.1234 90.00 125.23 90.00
Space group C2/m (No. 12)
Inequivalent atoms, fractional coordinates:
Tm1 0.0000 0.0000 0.0000
Mg1 0.2404 0.5000 0.2406
Mg2 0.2450 0.3305 0.7449
Sc1 0.0000 0.1639 0.5000
Sc2 0.0000 0.3329 0.0000
Sc3 0.0000 0.5000 0.5000

Properties
Formation energy from the elements = -40 meV/atom

Record 2
This record from Alexandria describes a geometry-optimized Tm6MgSc3 structure. The functional is PBE.

Lattice parameters (Å, degrees): 9.2619 19.4451 6.1900 90.00 90.00 90.00
Space group Cmc2_1 (No. 36)
Inequivalent atoms, fractional coordinates:
Tm1 0.0000 0.0169 0.0000
Tm2 0.0000 0.2924 0.0285
Tm3 0.1821 0.2836 0.4759
Tm4 0.1830 0.4449 0.2414
Mg1 0.0000 0.1540 0.7489
Sc1 0.0000 0.4129 0.7133
Sc2 0.1698 0.1251 0.3168

Properties
Distance to the lowest polymorph of the same formula = 0.0655 eV per atom
Formation energy from the elements = 101 meV/atom

Record 3
This record from Alexandria describes a geometry-optimized TmMgSc3 structure. The functional is PBE.

Lattice parameters (Å, degrees): 12.7073 5.0400 8.0708 90.00 90.00 90.00
Space group Pnma (No. 62)
Inequivalent atoms, fractional coordinates:
Tm1 0.1068 0.2500 0.0046
Mg1 0.0048 0.7500 0.6611
Sc1 0.1385 0.7500 0.3177
Sc2 0.1433 0.2500 0.6101
Sc3 0.2149 0.7500 0.8079

Properties
Distance to the lowest polymorph of the same formula = 0.0534 eV per atom
Formation energy from the elements = 111 meV/atom

Record 4
This record from Alexandria describes a geometry-optimized TmMg2Sc2 structure. The functional is PBE.

Lattice parameters (Å, degrees): 4.1188 4.1188 31.1779 90.00 90.00 90.00
Space group I4/mmm (No. 139)
Inequivalent atoms, fractional coordinates:
Tm1 0.0000 0.0000 0.1202
Mg1 0.0000 0.0000 0.3270
Mg2 0.0000 0.5000 0.0000
Sc1 0.0000 0.0000 0.4261
Sc2 0.0000 0.5000 0.2500

Properties
Distance to the lowest polymorph of the same formula = 0.2845 eV per atom
Formation energy from the elements = 250 meV/atom

Record 5
This record from Alexandria describes a geometry-optimized Tm6MgSc structure. The functional is PBE.

Lattice parameters (Å, degrees): 4.8417 4.8417 9.7506 90.00 90.00 90.00
Space group P4/mmm (No. 123)
Inequivalent atoms, fractional coordinates:
Tm1 0.0000 0.0000 0.0000
Tm2 0.0000 0.0000 0.5000
Tm3 0.0000 0.5000 0.2468
Mg1 0.5000 0.5000 0.5000
Sc1 0.5000 0.5000 0.0000

Properties
Distance to the lowest polymorph of the same formula = 0.0000 eV per atom
Formation energy from the elements = 32 meV/atom

Record 6
This record from Alexandria describes a geometry-optimized Tm3MgSc3 structure. The functional is PBE.

Lattice parameters (Å, degrees): 9.0025 9.0025 5.3229 90.00 90.00 120.00
Space group P6_3/m (No. 176)
Inequivalent atoms, fractional coordinates:
Tm1 0.0987 0.6303 0.2500
Mg1 0.3333 0.6667 0.7500
Sc1 0.0519 0.8210 0.7500

Properties
Distance to the lowest polymorph of the same formula = 0.0000 eV per atom
Formation energy from the elements = 24 meV/atom

Record 7
This record from Alexandria describes a geometry-optimized Tm2Mg8Sc structure. The functional is PBE.

Lattice parameters (Å, degrees): 15.6971 4.9409 7.2533 90.00 108.62 90.00
Space group C2/m (No. 12)
Inequivalent atoms, fractional coordinates:
Tm1 0.2236 0.0000 0.1399
Mg1 0.0285 0.0000 0.2229
Mg2 0.0879 0.5000 0.9527
Mg3 0.1393 0.0000 0.6522
Mg4 0.1732 0.5000 0.3925
Sc1 0.0000 0.5000 0.5000

Properties
Distance to the lowest polymorph of the same formula = 0.0000 eV per atom
Formation energy from the elements = -13 meV/atom

Record 8
This record from Alexandria describes a geometry-optimized Tm3Mg7Sc structure. The functional is PBE.

Lattice parameters (Å, degrees): 3.2547 22.1470 16.0639 90.00 90.00 90.00
Space group Cmcm (No. 63)
Inequivalent atoms, fractional coordinates:
Tm1 0.0000 0.1184 0.0334
Tm2 0.0000 0.2428 0.7500
Mg1 0.0000 0.2621 0.0756
Mg2 0.0000 0.3752 0.1589
Mg3 0.0000 0.3924 0.7500
Mg4 0.0000 0.4949 0.0877
Sc1 0.0000 0.0185 0.7500

Properties
Formation energy from the elements = 108 meV/atom

Record 9
This record from Alexandria describes a geometry-optimized Tm2Mg2Sc7 structure. The functional is PBE.

Lattice parameters (Å, degrees): 10.9715 10.5037 5.2622 90.00 110.21 90.00
Space group C2/m (No. 12)
Inequivalent atoms, fractional coordinates:
Tm1 0.0000 0.2150 0.0000
Mg1 0.0783 0.5000 0.2907
Sc1 0.0000 0.0000 0.5000
Sc2 0.1859 0.2121 0.6762
Sc3 0.2260 0.0000 0.1420

Properties
Formation energy from the elements = 176 meV/atom

Record 10
This record from Alexandria describes a geometry-optimized Tm5Mg4Sc structure. The functional is PBE.

Lattice parameters (Å, degrees): 3.6152 3.6152 20.4687 90.00 90.00 90.00
Space group P4/mmm (No. 123)
Inequivalent atoms, fractional coordinates:
Tm1 0.0000 0.0000 0.0000
Tm2 0.0000 0.0000 0.1936
Tm3 0.0000 0.0000 0.3981
Mg1 0.5000 0.5000 0.0968
Mg2 0.5000 0.5000 0.2947
Sc1 0.5000 0.5000 0.5000

Properties
Formation energy from the elements = -33 meV/atom

Record 11
This record from Alexandria describes a geometry-optimized Tm3Mg2Sc3 structure. The functional is PBE.

Lattice parameters (Å, degrees): 4.7693 4.8234 18.2605 90.00 90.00 90.00
Space group Immm (No. 71)
Inequivalent atoms, fractional coordinates:
Tm1 0.0000 0.0000 0.0000
Tm2 0.0000 0.5000 0.1265
Mg1 0.0000 0.0000 0.2497
Sc1 0.0000 0.0000 0.5000
Sc2 0.0000 0.5000 0.3716

Properties
Formation energy from the elements = -5 meV/atom